Entry from Alexandria: crystalline PuTaV2O6 at its relaxed geometry (PBE with a Hubbard U).

Cell and atoms, written as extended XYZ:
```
10
Lattice="-2.8913 4.2940 -1.7275 -3.9433 -0.6801 -3.7097 -5.5743 0.4496 1.8265" Properties=species:S:1:pos:R:3 pbc="T T T"
Pu -8.7410 3.1772 -3.3323
Ta -2.4412 1.1673 -1.6327
V -6.0345 2.0707 -1.9929
V -5.4359 0.4810 1.6740
O -3.9285 2.4608 -1.4887
O -5.6929 0.4968 -3.4913
O -6.3213 3.7504 -3.3851
O -8.1556 1.5285 -1.8883
O -6.8623 3.2701 -0.3565
O -6.2030 0.6990 -0.2921
```

As for the symmetry: No. 146. As for the calculated total energy: -9.4789 eV per atom.